The following is a PBE calculation of an optimized crystal structure of PmY12Ho7, from Alexandria.

crystal system: trigonal
magnetic moment: 0.0 Bohr magnetons per cell
energy relative to the lowest polymorph listed for this composition: 0.000 eV/atom
DFT total energy: -0.200 Ha/atom
density of states at the Fermi level: 0.938 states/eV/atom
energy relative to the elements: 288.0 meV/atom

Lattice parameters (Å, degrees): 8.702 8.702 8.702 95.26 95.26 95.26
Element x y z (fractional)
Pm: 0.000 0.000 0.000
Y: 0.148 0.478 0.415
Y: 0.187 0.316 0.750
Y: 0.250 0.813 0.684
Y: 0.316 0.750 0.187
Y: 0.415 0.148 0.478
Y: 0.478 0.415 0.148
Y: 0.522 0.585 0.852
Y: 0.585 0.852 0.522
Y: 0.684 0.250 0.813
Y: 0.750 0.187 0.316
Y: 0.813 0.684 0.250
Y: 0.852 0.522 0.585
Ho: 0.019 0.352 0.082
Ho: 0.082 0.019 0.352
Ho: 0.352 0.082 0.019
Ho: 0.500 0.500 0.500
Ho: 0.648 0.918 0.981
Ho: 0.918 0.981 0.648
Ho: 0.981 0.648 0.918

=====

The following is a PBE calculation of an optimized crystal structure of LiSe, from Alexandria.

crystal system: hexagonal
magnetic moment: 0.0 Bohr magnetons per cell
ΔE_f (raw): -0.842 eV per atom
energy relative to the lowest polymorph listed for this composition: 0.067 eV/atom
DFT total energy: -0.130 Ha/atom
density of states at the Fermi level: 0.400 states/eV/atom

Lattice parameters (Å, degrees): 3.970 3.970 2.830 90.00 90.00 120.00
Element x y z (fractional)
Li: 0.000 0.000 0.000
Se: 0.333 0.667 0.500

=====

The following is a PBE calculation of an optimized crystal structure of PrEr8Bi6, from Alexandria.

crystal system: trigonal
magnetic moment: 0.0 Bohr magnetons per cell
DFT total energy: -0.176 Ha/atom
density of states at the Fermi level: 0.626 states/eV/atom
energy relative to the elements: -485.9 meV/atom

Lattice parameters (Å, degrees): 10.730 10.730 10.730 41.75 41.75 41.75
Element x y z (fractional)
Pr: 0.000 0.000 0.000
Er: 0.127 0.798 0.442
Er: 0.202 0.558 0.873
Er: 0.334 0.334 0.334
Er: 0.442 0.127 0.798
Er: 0.558 0.873 0.202
Er: 0.666 0.666 0.666
Er: 0.798 0.442 0.127
Er: 0.873 0.202 0.558
Bi: 0.061 0.409 0.722
Bi: 0.278 0.939 0.591
Bi: 0.409 0.722 0.061
Bi: 0.591 0.278 0.939
Bi: 0.722 0.061 0.409
Bi: 0.939 0.591 0.278

=====

The following is a PBE calculation of an optimized crystal structure of Tb2HfAl3, from Alexandria.

crystal system: orthorhombic
magnetic moment: 0.0 Bohr magnetons per cell
DFT total energy: -0.191 Ha/atom
density of states at the Fermi level: 0.692 states/eV/atom
energy relative to the elements: -129.8 meV/atom

Lattice parameters (Å, degrees): 7.524 7.524 5.145 90.00 90.00 77.55
Element x y z (fractional)
Tb: 0.081 0.650 0.750
Tb: 0.350 0.919 0.750
Tb: 0.650 0.081 0.250
Tb: 0.919 0.350 0.250
Hf: 0.410 0.590 0.250
Hf: 0.590 0.410 0.750
Al: 0.087 0.913 0.250
Al: 0.293 0.293 0.000
Al: 0.293 0.293 0.500
Al: 0.707 0.707 0.000
Al: 0.707 0.707 0.500
Al: 0.913 0.087 0.750

=====

The following is a PBE calculation of an optimized crystal structure of CsCeVS4, from Alexandria.

crystal system: monoclinic
magnetic moment: 4.0 Bohr magnetons per cell
ΔE_f (raw): -1.401 eV per atom
DFT total energy: -0.222 Ha/atom
density of states at the Fermi level: 1.016 states/eV/atom

Lattice parameters (Å, degrees): 6.656 6.633 9.558 90.00 108.00 90.00
Element x y z (fractional)
Cs: 0.231 0.250 0.439
Cs: 0.769 0.750 0.561
Ce: 0.266 0.250 0.952
Ce: 0.734 0.750 0.048
V: 0.279 0.750 0.163
V: 0.721 0.250 0.837
S: 0.080 0.750 0.931
S: 0.081 0.750 0.310
S: 0.496 0.505 0.805
S: 0.496 0.995 0.805
S: 0.504 0.005 0.195
S: 0.504 0.495 0.195
S: 0.919 0.250 0.690
S: 0.920 0.250 0.069

=====

The following is a PBE calculation of an optimized crystal structure of Mn2Cu2Pd7, from Alexandria.

crystal system: monoclinic
magnetic moment: 9.3 Bohr magnetons per cell
DFT total energy: -0.214 Ha/atom
density of states at the Fermi level: 0.580 states/eV/atom
energy relative to the elements: -106.6 meV/atom

Lattice parameters (Å, degrees): 5.042 5.042 6.688 98.40 98.40 97.88
Element x y z (fractional)
Mn: 0.192 0.808 0.000
Mn: 0.808 0.192 0.000
Cu: 0.101 0.101 0.350
Cu: 0.899 0.899 0.650
Pd: 0.035 0.415 0.692
Pd: 0.337 0.337 0.086
Pd: 0.415 0.035 0.692
Pd: 0.500 0.500 0.500
Pd: 0.585 0.965 0.308
Pd: 0.663 0.663 0.914
Pd: 0.965 0.585 0.308